[1]
# Tb4NdGa5

An optimized crystal structure of Tb4NdGa5 (PBE-GGA, Alexandria).

Results
ΔH_f (0 K)   -581 meV per atom
Volume   23.47 A^3/atom

a b c (Å): 3.6059 3.6059 18.0491
angles (deg): 90.00 90.00 90.00
With the nearest neighbours (Å) after each atom.
Positions (direct):
Tb (0.0000, 0.0000, 0.0985)  8 Ga 3.11
Tb (0.0000, 0.0000, 0.2955)  8 Ga 3.10-3.11
Tb (0.0000, 0.0000, 0.7045)  8 Ga 3.10-3.11
Tb (0.0000, 0.0000, 0.9015)  8 Ga 3.11
Nd (0.0000, 0.0000, 0.5000)  8 Ga 3.20
Ga (0.5000, 0.5000, 0.0000)  8 Tb 3.11
Ga (0.5000, 0.5000, 0.1968)  8 Tb 3.11
Ga (0.5000, 0.5000, 0.3927)  4 Tb 3.10, 4 Nd 3.20
Ga (0.5000, 0.5000, 0.6073)  4 Tb 3.10, 4 Nd 3.20
Ga (0.5000, 0.5000, 0.8032)  8 Tb 3.11

=====

[2]
# Tb3NdGa4

An optimized crystal structure of Tb3NdGa4 (PBE-GGA, Alexandria).

Results
ΔH_f (0 K)   -577 meV per atom
Volume   23.58 A^3/atom

a b c (Å): 5.1106 5.1106 7.2238
angles (deg): 90.00 90.00 90.00
With the nearest neighbours (Å) after each atom.
Positions (direct):
Tb (0.0000, 0.0000, 0.0000)  8 Ga 3.10
Tb (0.0000, 0.0000, 0.5000)  8 Ga 3.16
Tb (0.5000, 0.5000, 0.0000)  8 Ga 3.10
Nd (0.5000, 0.5000, 0.5000)  8 Ga 3.16
Ga (0.0000, 0.5000, 0.2436)  6 Tb 3.10-3.16, 2 Nd 3.16
Ga (0.0000, 0.5000, 0.7564)  6 Tb 3.10-3.16, 2 Nd 3.16
Ga (0.5000, 0.0000, 0.2436)  6 Tb 3.10-3.16, 2 Nd 3.16
Ga (0.5000, 0.0000, 0.7564)  6 Tb 3.10-3.16, 2 Nd 3.16

=====

[3]
# Tb2Nd5Ga4

An optimized crystal structure of Tb2Nd5Ga4 (PBE-GGA, Alexandria).

Results
ΔH_f (0 K)   -148 meV per atom
Volume   28.44 A^3/atom

a b c (Å): 11.7041 11.7041 7.9467
angles (deg): 108.44 108.44 17.66
With the nearest neighbours (Å) after each atom.
Positions (direct):
Tb (0.2245, 0.2245, 0.1691)  1 Ga 3.20, 5 Nd 3.39-3.54
Tb (0.7755, 0.7755, 0.8309)  1 Ga 3.20, 5 Nd 3.39-3.54
Nd (0.0000, 0.0000, 0.5000)  4 Ga 3.18
Nd (0.3549, 0.3549, 0.5903)  3 Ga 3.17-3.18, 1 Nd 3.44, 2 Tb 3.54
Nd (0.3715, 0.3715, 0.1753)  3 Ga 3.09-3.15, 3 Tb 3.39-3.43, 1 Nd 3.44
Nd (0.6285, 0.6285, 0.8247)  3 Ga 3.09-3.15, 3 Tb 3.39-3.43, 1 Nd 3.44
Nd (0.6451, 0.6451, 0.4097)  3 Ga 3.17-3.18, 1 Nd 3.44, 2 Tb 3.54
Ga (0.0792, 0.0792, 0.0738)  4 Ga 2.77-2.91
Ga (0.4949, 0.4949, 0.8256)  5 Ga 2.70-2.91
Ga (0.5051, 0.5051, 0.1744)  5 Ga 2.70-2.91
Ga (0.9208, 0.9208, 0.9262)  4 Ga 2.77-2.91

=====

[4]
# Tb3Nd2Ga4

An optimized crystal structure of Tb3Nd2Ga4 (PBE-GGA, Alexandria).

Results
ΔH_f (0 K)   -420 meV per atom
Volume   26.49 A^3/atom

a b c (Å): 8.6719 8.6719 8.6362
angles (deg): 90.00 90.00 132.75
With the nearest neighbours (Å) after each atom.
Positions (direct):
Tb (0.0000, 0.0000, 0.0000)  6 Ga 2.82-2.97
Tb (0.0332, 0.4668, 0.2500)  5 Ga 2.92-3.09
Tb (0.4668, 0.0332, 0.7500)  5 Ga 2.92-3.09
Tb (0.5000, 0.5000, 0.5000)  6 Ga 2.82-2.97
Tb (0.5332, 0.9668, 0.2500)  5 Ga 2.92-3.09
Tb (0.9668, 0.5332, 0.7500)  5 Ga 2.92-3.09
Nd (0.1065, 0.8935, 0.4211)  6 Ga 3.18-3.53
Nd (0.3935, 0.6065, 0.9211)  6 Ga 3.18-3.53
Nd (0.6065, 0.3935, 0.0789)  6 Ga 3.18-3.53
Nd (0.8935, 0.1065, 0.5789)  6 Ga 3.18-3.53
Ga (0.1857, 0.8143, 0.0396)  5 Tb 2.95-3.09
Ga (0.2172, 0.2828, 0.2500)  3 Tb 2.82-2.92
Ga (0.2828, 0.2172, 0.7500)  3 Tb 2.82-2.92
Ga (0.3143, 0.6857, 0.5396)  5 Tb 2.95-3.09
Ga (0.6857, 0.3143, 0.4604)  5 Tb 2.95-3.09
Ga (0.7172, 0.7828, 0.2500)  3 Tb 2.82-2.92
Ga (0.7828, 0.7172, 0.7500)  3 Tb 2.82-2.92
Ga (0.8143, 0.1857, 0.9604)  5 Tb 2.95-3.09

=====

In μB/f.u., the magnetization values for the records above are, in order, 0.000, 0.000, 0.001, 0.000.